Density functional theory data (PBE) for a relaxed structure of TlCu3Ag4F12.

Computed properties:
- calculated density (g/cm³) = 5.71
- final energy (eV/atom) = -3.78
- formation energy from raw total energies (eV per atom) = -1.35
- magnetization (μB per formula unit) = 3.53

a = 8.4961 Å, b = 8.4961 Å, c = 8.4961 Å
α = 90.00°, β = 90.00°, γ = 90.00°
Space group Im-3 (No. 204)
One atom of each set of equivalent atoms:
Tl  0.0000  0.0000  0.0000 x2
Cu  0.0000  0.0000  0.5000 x6
Ag  0.2500  0.2500  0.2500 x8
F  0.0000  0.1563  0.3372 x24

***

Density functional theory data (PBE) for a relaxed structure of Mg4ScFe.

Computed properties:
- calculated density (g/cm³) = 2.64
- formation energy (eV/atom) = 0.33
- final energy (eV/atom) = -3.20
- magnetization (μB per formula unit) = 1.22

a = 7.9314 Å, b = 7.9314 Å, c = 7.9314 Å
α = 90.00°, β = 90.00°, γ = 90.00°
Space group F-43m (No. 216)
One atom of each set of equivalent atoms:
Mg  0.1244  0.1244  0.3756 x16
Sc  0.0000  0.0000  0.0000 x4
Fe  0.2500  0.2500  0.7500 x4

***

Density functional theory data (PBE) for a relaxed structure of NpIrS4.

Computed properties:
- excess energy over the best structure of this formula in the dataset (meV per atom) = 177
- calculated density (g/cm³) = 7.82
- final energy (eV/atom) = -7.02
- formation energy from raw total energies (eV per atom) = -0.64
- magnetization (μB per formula unit) = 2.05

a = 6.4190 Å, b = 6.0836 Å, c = 6.1370 Å
α = 90.00°, β = 98.76°, γ = 90.00°
Space group P2_1/c (No. 14)
One atom of each set of equivalent atoms:
Np  0.0000  0.0000  0.0000 x2
Ir  0.5000  0.0000  0.5000 x2
S  0.1852  0.1653  0.3767 x4
S  0.3259  0.7024  0.2671 x4

***

Density functional theory data (PBE) for a relaxed structure of AcInSe3.

Computed properties:
- excess energy over the best structure of this formula in the dataset (meV per atom) = 0
- calculated density (g/cm³) = 6.24
- final energy (eV/atom) = -4.70
- formation energy from raw total energies (eV per atom) = -1.24
- magnetization (μB per formula unit) = 0.00

a = 13.8544 Å, b = 9.6571 Å, c = 4.6047 Å
α = 90.00°, β = 90.50°, γ = 90.00°
Space group C2/m (No. 12)
One atom of each set of equivalent atoms:
Ac  0.2365  0.0000  0.2665 x4
In  0.0000  0.3042  0.5000 x4
Se  0.1034  0.5000  0.2343 x4
Se  0.1477  0.1961  0.7633 x8

***

Density functional theory data (PBE) for a relaxed structure of TcSbMo2I.

Computed properties:
- calculated density (g/cm³) = 5.45
- final energy (eV/atom) = -5.06
- formation energy from raw total energies (eV per atom) = 2.48
- magnetization (μB per formula unit) = 11.10

a = 5.2026 Å, b = 5.2026 Å, c = 6.0639 Å
α = 90.00°, β = 90.00°, γ = 90.00°
Space group P4/mmm (No. 123)
One atom of each set of equivalent atoms:
Tc  0.0000  0.0000  0.0000 x1
Sb  0.5000  0.5000  0.5000 x1
Mo  0.0000  0.5000  0.5000 x2
I  0.5000  0.5000  0.0000 x1

***

Density functional theory data (PBE) for a relaxed structure of V2Fe2Bi.

Computed properties:
- calculated density (g/cm³) = 9.59
- formation energy (eV/atom) = 0.28
- final energy (eV/atom) = -7.53
- magnetization (μB per formula unit) = 0.00

a = 7.1115 Å, b = 7.1115 Å, c = 2.8935 Å
α = 90.00°, β = 90.00°, γ = 90.00°
Space group P4/mbm (No. 127)
One atom of each set of equivalent atoms:
V  0.1477  0.3523  0.0000 x4
Fe  0.1286  0.6286  0.5000 x4
Bi  0.0000  0.0000  0.5000 x2